KRbC2: relaxed, GGA-PBE.

abc: 7.834 7.834 9.463
angles: 90.00 90.00 90.00
Space group I-42d (No. 122)
Inequivalent atoms, fractional coordinates:
K  0.000  0.000  0.000 x4
Rb  0.000  0.000  0.500 x4
C  0.235  0.250  0.125 x8

Properties
Crystal system: tetragonal
Relative energy among the computed polymorphs: 0.0 meV per atom
N(E_F): 0.00 states/eV/f.u.
DFT formation energy: 230 kJ/mol of atoms